## w
A plane-wave DFT calculation with PBE was carried out for a relaxed structure of ZrV3C.

Values from the calculation:
symmetry = Pm-3m
DOS(E_F) = 7.4 states/eV/cell
total magnetization = 4.1 μB/cell
V = 20.3 Å³/atom

a b c (Å): 4.662 4.662 4.662
angles (deg): 90.00 90.00 90.00
Fractional coordinates of all 5 atoms:
Zr 0.000 0.000 0.000
V 0.000 0.000 0.500
V 0.000 0.500 0.000
V 0.500 0.000 0.000
C 0.500 0.500 0.500

***

## x
A plane-wave DFT calculation with PBE was carried out for a relaxed structure of ZrV3C.

Values from the calculation:
symmetry = Pm-3m
DOS(E_F) = 6.7 states/eV/cell
total magnetization = 0.0 μB/cell
V = 13.9 Å³/atom

a b c (Å): 4.109 4.109 4.109
angles (deg): 90.00 90.00 90.00
Fractional coordinates of all 5 atoms:
Zr 0.000 0.000 0.000
V 0.000 0.500 0.500
V 0.500 0.000 0.500
V 0.500 0.500 0.000
C 0.500 0.500 0.500

***

In meV per atom, relative to the most stable structure: w 3024; x 0.

***

## w
A plane-wave DFT calculation with PBE was carried out for a relaxed structure of Zr2VC2.

Values from the calculation:
symmetry = P4/mbm
DOS(E_F) = 6.9 states/eV/cell
total magnetization = 0.0 μB/cell
V = 12.6 Å³/atom

a b c (Å): 6.165 6.165 3.325
angles (deg): 90.00 90.00 90.00
Fractional coordinates of all 10 atoms:
Zr 0.165 0.335 0.000
Zr 0.335 0.835 0.000
Zr 0.665 0.165 0.000
Zr 0.835 0.665 0.000
V 0.000 0.000 0.500
V 0.500 0.500 0.500
C 0.153 0.653 0.500
C 0.347 0.153 0.500
C 0.653 0.847 0.500
C 0.847 0.347 0.500

***

## x
A plane-wave DFT calculation with PBE was carried out for a relaxed structure of Zr2VC2.

Values from the calculation:
symmetry = P4/mbm
DOS(E_F) = 6.2 states/eV/cell
total magnetization = 0.0 μB/cell
V = 13.6 Å³/atom

a b c (Å): 6.746 6.746 2.990
angles (deg): 90.00 90.00 90.00
Fractional coordinates of all 10 atoms:
Zr 0.145 0.355 0.000
Zr 0.355 0.855 0.000
Zr 0.645 0.145 0.000
Zr 0.855 0.645 0.000
V 0.000 0.000 0.000
V 0.500 0.500 0.000
C 0.168 0.668 0.500
C 0.332 0.168 0.500
C 0.668 0.832 0.500
C 0.832 0.332 0.500

***

## y
A plane-wave DFT calculation with PBE was carried out for a relaxed structure of Zr2VC2.

Values from the calculation:
symmetry = I4/mmm
DOS(E_F) = 2.7 states/eV/cell
total magnetization = 0.0 μB/cell
V = 15.6 Å³/atom

a b c (Å): 5.215 5.215 5.215
angles (deg): 131.50 131.50 71.01
Fractional coordinates of all 5 atoms:
Zr 0.178 0.178 0.000
Zr 0.822 0.822 0.000
V 0.500 0.500 0.000
C 0.250 0.750 0.500
C 0.750 0.250 0.500

***

In meV per atom, relative to the most stable structure: w 0; x 1063; y 783.

***

## w
A plane-wave DFT calculation with PBE was carried out for a relaxed structure of WC3.

Values from the calculation:
symmetry = I4/mmm
DOS(E_F) = 3.4 states/eV/cell
total magnetization = 0.0 μB/cell
V = 11.9 Å³/atom

a b c (Å): 12.616 12.616 12.616
angles (deg): 167.42 167.42 17.83
Fractional coordinates of all 8 atoms:
W 0.181 0.181 0.000
W 0.819 0.819 0.000
C 0.000 0.500 0.500
C 0.250 0.750 0.500
C 0.351 0.351 0.000
C 0.500 0.000 0.500
C 0.649 0.649 0.000
C 0.750 0.250 0.500

***

## x
A plane-wave DFT calculation with PBE was carried out for a relaxed structure of WC3.

Values from the calculation:
symmetry = R-3m
DOS(E_F) = 2.4 states/eV/cell
total magnetization = 0.0 μB/cell
V = 9.5 Å³/atom

a b c (Å): 3.917 3.917 3.917
angles (deg): 113.50 113.50 113.50
Fractional coordinates of all 4 atoms:
W 0.000 0.000 0.000
C 0.000 0.500 0.500
C 0.500 0.000 0.500
C 0.500 0.500 0.000

***

In meV per atom, relative to the most stable structure: w 0; x 508.

***

## w
A plane-wave DFT calculation with PBE was carried out for a relaxed structure of WC3.

Values from the calculation:
symmetry = Pnma
DOS(E_F) = 5.3 states/eV/cell
total magnetization = 0.0 μB/cell
V = 8.8 Å³/atom

a b c (Å): 5.901 5.840 4.066
angles (deg): 90.00 90.00 90.00
Fractional coordinates of all 16 atoms:
W 0.046 0.250 0.153
W 0.454 0.750 0.653
W 0.546 0.250 0.347
W 0.954 0.750 0.847
C 0.120 0.750 0.364
C 0.233 0.524 0.365
C 0.233 0.976 0.365
C 0.267 0.024 0.865
C 0.267 0.476 0.865
C 0.380 0.250 0.864
C 0.620 0.750 0.136
C 0.733 0.524 0.135
C 0.733 0.976 0.135
C 0.767 0.024 0.635
C 0.767 0.476 0.635
C 0.880 0.250 0.636

***

## x
A plane-wave DFT calculation with PBE was carried out for a relaxed structure of WC3.

Values from the calculation:
symmetry = Pmmm
DOS(E_F) = 1.8 states/eV/cell
total magnetization = 0.0 μB/cell
V = 10.8 Å³/atom

a b c (Å): 2.703 3.149 5.054
angles (deg): 90.00 90.00 90.00
Fractional coordinates of all 4 atoms:
W 0.000 0.000 0.000
C 0.000 0.000 0.500
C 0.500 0.000 0.500
C 0.500 0.500 0.000

***

## y
A plane-wave DFT calculation with PBE was carried out for a relaxed structure of WC3.

Values from the calculation:
symmetry = C2/m
DOS(E_F) = 1.1 states/eV/cell
total magnetization = 0.0 μB/cell
V = 9.3 Å³/atom

a b c (Å): 4.295 4.295 3.490
angles (deg): 102.66 102.66 36.26
Fractional coordinates of all 4 atoms:
W 0.000 0.000 0.000
C 0.278 0.278 0.089
C 0.500 0.500 0.500
C 0.722 0.722 0.911

***

In meV per atom, relative to the most stable structure: w 39; x 0; y 236.

***

## w
A plane-wave DFT calculation with PBE was carried out for a relaxed structure of WC3.

Values from the calculation:
symmetry = Pm-3m
DOS(E_F) = 3.7 states/eV/cell
total magnetization = 0.0 μB/cell
V = 17.2 Å³/atom

a b c (Å): 4.101 4.101 4.101
angles (deg): 90.00 90.00 90.00
Fractional coordinates of all 4 atoms:
W 0.000 0.000 0.000
C 0.000 0.000 0.500
C 0.000 0.500 0.000
C 0.500 0.000 0.000

***

## x
A plane-wave DFT calculation with PBE was carried out for a relaxed structure of WC3.

Values from the calculation:
symmetry = Pm-3m
DOS(E_F) = 3.0 states/eV/cell
total magnetization = 0.0 μB/cell
V = 8.6 Å³/atom

a b c (Å): 3.256 3.256 3.256
angles (deg): 90.00 90.00 90.00
Fractional coordinates of all 4 atoms:
W 0.000 0.000 0.000
C 0.000 0.500 0.500
C 0.500 0.000 0.500
C 0.500 0.500 0.000

***

## y
A plane-wave DFT calculation with PBE was carried out for a relaxed structure of WC3.

Values from the calculation:
symmetry = P6_3/mmc
DOS(E_F) = 10.7 states/eV/cell
total magnetization = 0.0 μB/cell
V = 9.9 Å³/atom

a b c (Å): 4.233 4.233 10.202
angles (deg): 90.00 90.00 120.00
Fractional coordinates of all 16 atoms:
W 0.000 0.000 0.000
W 0.000 0.000 0.500
W 0.333 0.667 0.250
W 0.667 0.333 0.750
C 0.000 0.500 0.000
C 0.000 0.500 0.500
C 0.219 0.437 0.750
C 0.219 0.781 0.750
C 0.437 0.219 0.250
C 0.500 0.000 0.000
C 0.500 0.000 0.500
C 0.500 0.500 0.000
C 0.500 0.500 0.500
C 0.563 0.781 0.750
C 0.781 0.219 0.250
C 0.781 0.563 0.250

***

## z
A plane-wave DFT calculation with PBE was carried out for a relaxed structure of WC3.

Values from the calculation:
symmetry = P6_3/mmc
DOS(E_F) = 2.6 states/eV/cell
total magnetization = 0.0 μB/cell
V = 9.3 Å³/atom

a b c (Å): 4.475 4.475 4.295
angles (deg): 90.00 90.00 120.00
Fractional coordinates of all 8 atoms:
W 0.333 0.667 0.250
W 0.667 0.333 0.750
C 0.218 0.436 0.750
C 0.218 0.782 0.750
C 0.436 0.218 0.250
C 0.564 0.782 0.750
C 0.782 0.218 0.250
C 0.782 0.564 0.250

***

In meV per atom, relative to the most stable structure: w 731; x 912; y 447; z 0.

***

## w
A plane-wave DFT calculation with PBE was carried out for a relaxed structure of WC3.

Values from the calculation:
symmetry = Cmcm
DOS(E_F) = 3.7 states/eV/cell
total magnetization = 0.0 μB/cell
V = 9.2 Å³/atom

a b c (Å): 5.435 5.435 4.058
angles (deg): 90.00 90.00 141.89
Fractional coordinates of all 8 atoms:
W 0.091 0.909 0.750
W 0.909 0.091 0.250
C 0.196 0.804 0.250
C 0.207 0.395 0.750
C 0.395 0.207 0.250
C 0.605 0.793 0.750
C 0.793 0.605 0.250
C 0.804 0.196 0.750

***

## x
A plane-wave DFT calculation with PBE was carried out for a relaxed structure of WC3.

Values from the calculation:
symmetry = Cmcm
DOS(E_F) = 1.7 states/eV/cell
total magnetization = 0.0 μB/cell
V = 8.6 Å³/atom

a b c (Å): 6.769 6.769 2.610
angles (deg): 90.00 90.00 144.93
Fractional coordinates of all 8 atoms:
W 0.101 0.899 0.750
W 0.899 0.101 0.250
C 0.093 0.538 0.750
C 0.462 0.907 0.750
C 0.471 0.529 0.250
C 0.529 0.471 0.750
C 0.538 0.093 0.250
C 0.907 0.462 0.250

***

## y
A plane-wave DFT calculation with PBE was carried out for a relaxed structure of WC3.

Values from the calculation:
symmetry = Pmmn
DOS(E_F) = 3.9 states/eV/cell
total magnetization = 0.0 μB/cell
V = 8.8 Å³/atom

a b c (Å): 3.849 4.496 4.070
angles (deg): 90.00 90.00 90.00
Fractional coordinates of all 8 atoms:
W 0.250 0.250 0.164
W 0.750 0.750 0.836
C 0.250 0.596 0.519
C 0.250 0.750 0.148
C 0.250 0.904 0.519
C 0.750 0.096 0.481
C 0.750 0.250 0.852
C 0.750 0.404 0.481

***

In meV per atom, relative to the most stable structure: w 113; x 0; y 555.

***

## w
A plane-wave DFT calculation with PBE was carried out for a relaxed structure of WC3.

Values from the calculation:
symmetry = I4/mmm
DOS(E_F) = 1.2 states/eV/cell
total magnetization = 0.0 μB/cell
V = 8.7 Å³/atom

a b c (Å): 4.346 4.346 4.346
angles (deg): 139.11 139.11 59.21
Fractional coordinates of all 4 atoms:
W 0.000 0.000 0.000
C 0.250 0.750 0.500
C 0.500 0.500 0.000
C 0.750 0.250 0.500

***

## x
A plane-wave DFT calculation with PBE was carried out for a relaxed structure of WC3.

Values from the calculation:
symmetry = R-3m
DOS(E_F) = 1.8 states/eV/cell
total magnetization = 0.0 μB/cell
V = 8.3 Å³/atom

a b c (Å): 5.451 5.451 5.451
angles (deg): 28.83 28.83 28.83
Fractional coordinates of all 4 atoms:
W 0.000 0.000 0.000
C 0.232 0.232 0.232
C 0.500 0.500 0.500
C 0.768 0.768 0.768

***

## y
A plane-wave DFT calculation with PBE was carried out for a relaxed structure of WC3.

Values from the calculation:
symmetry = Imm2
DOS(E_F) = 0.3 states/eV/cell
total magnetization = 0.0 μB/cell
V = 9.1 Å³/atom

a b c (Å): 4.057 4.057 4.057
angles (deg): 137.45 72.35 124.52
Fractional coordinates of all 4 atoms:
W 0.000 0.000 0.000
C 0.116 0.797 0.319
C 0.478 0.797 0.681
C 0.511 0.011 0.500

***

In meV per atom, relative to the most stable structure: w 1259; x 962; y 0.

***

## w
A plane-wave DFT calculation with PBE was carried out for a relaxed structure of WC3.

Values from the calculation:
symmetry = Fm-3m
DOS(E_F) = 3.0 states/eV/cell
total magnetization = 0.0 μB/cell
V = 9.0 Å³/atom

a b c (Å): 3.706 3.706 3.706
angles (deg): 60.00 60.00 60.00
Fractional coordinates of all 4 atoms:
W 0.000 0.000 0.000
C 0.250 0.250 0.250
C 0.500 0.500 0.500
C 0.750 0.750 0.750

***

## x
A plane-wave DFT calculation with PBE was carried out for a relaxed structure of WC3.

Values from the calculation:
symmetry = Cmmm
DOS(E_F) = 1.8 states/eV/cell
total magnetization = 0.0 μB/cell
V = 10.3 Å³/atom

a b c (Å): 3.172 3.172 5.812
angles (deg): 90.00 90.00 135.11
Fractional coordinates of all 4 atoms:
W 0.000 0.000 0.000
C 0.000 0.000 0.500
C 0.500 0.500 0.324
C 0.500 0.500 0.676

***

In meV per atom, relative to the most stable structure: w 737; x 0.